[1]
Density functional theory data (PBE) for a relaxed structure of FeCuH.

Output
excess energy over the best structure of this formula in the dataset: 135 meV per atom
D(E_F): 0.302 states/eV per atom
density: 7.2 g cm⁻³

```
data_FeCuH
_space_group_name_H-M_alt 'P 1'
_space_group_IT_number 1
_cell_length_a 4.8671
_cell_length_b 4.8671
_cell_length_c 4.8671
_cell_angle_alpha 150.59
_cell_angle_beta 150.59
_cell_angle_gamma 42.07
loop_
_space_group_symop_operation_xyz
'x,y,z'
loop_
_atom_site_label
_atom_site_type_symbol
_atom_site_fract_x
_atom_site_fract_y
_atom_site_fract_z
_atom_site_occupancy
Fe1 Fe 0.0000 0.0000 0.0000 1
Cu1 Cu 0.2832 0.2832 0.0000 1
H1 H 0.5583 0.5583 0.0000 1
```

=====

[2]
Density functional theory data (PBE) for a relaxed structure of Cs4NaMn3Br12.

Output
D(E_F): 0.297 states/eV per atom
formation energy (no corrections): -1.26 eV/atom
density: 4.2 g cm⁻³

```
data_Cs4NaMn3Br12
_space_group_name_H-M_alt 'P 1'
_space_group_IT_number 1
_cell_length_a 9.5087
_cell_length_b 9.5087
_cell_length_c 9.5087
_cell_angle_alpha 109.47
_cell_angle_beta 109.47
_cell_angle_gamma 109.47
loop_
_space_group_symop_operation_xyz
'x,y,z'
loop_
_atom_site_label
_atom_site_type_symbol
_atom_site_fract_x
_atom_site_fract_y
_atom_site_fract_z
_atom_site_occupancy
Cs1 Cs 0.0000 0.0000 0.5000 1
Cs2 Cs 0.0000 0.5000 0.0000 1
Cs3 Cs 0.5000 0.0000 0.0000 1
Cs4 Cs 0.5000 0.5000 0.5000 1
Na1 Na 0.0000 0.0000 0.0000 1
Mn1 Mn 0.0000 0.5000 0.5000 1
Mn2 Mn 0.5000 0.0000 0.5000 1
Mn3 Mn 0.5000 0.5000 0.0000 1
Br1 Br 0.0000 0.2692 0.2692 1
Br2 Br 0.0000 0.7308 0.7308 1
Br3 Br 0.2500 0.5000 0.7500 1
Br4 Br 0.2500 0.7500 0.5000 1
Br5 Br 0.2692 0.0000 0.2692 1
Br6 Br 0.2692 0.2692 0.0000 1
Br7 Br 0.5000 0.2500 0.7500 1
Br8 Br 0.5000 0.7500 0.2500 1
Br9 Br 0.7308 0.0000 0.7308 1
Br10 Br 0.7308 0.7308 0.0000 1
Br11 Br 0.7500 0.2500 0.5000 1
Br12 Br 0.7500 0.5000 0.2500 1
```

=====

[3]
Density functional theory data (PBE) for a relaxed structure of SrCd2P.

Output
D(E_F): 0.560 states/eV per atom
DFT formation energy: -0.08 eV/atom
density: 5.5 g cm⁻³

```
data_SrCd2P
_space_group_name_H-M_alt 'P 1'
_space_group_IT_number 1
_cell_length_a 4.0228
_cell_length_b 4.0228
_cell_length_c 6.3620
_cell_angle_alpha 90.00
_cell_angle_beta 90.00
_cell_angle_gamma 90.00
loop_
_space_group_symop_operation_xyz
'x,y,z'
loop_
_atom_site_label
_atom_site_type_symbol
_atom_site_fract_x
_atom_site_fract_y
_atom_site_fract_z
_atom_site_occupancy
Sr1 Sr 0.0000 0.0000 0.0000 1
Cd1 Cd 0.5000 0.5000 0.2855 1
Cd2 Cd 0.5000 0.5000 0.7145 1
P1 P 0.0000 0.0000 0.5000 1
```